This record from Alexandria describes a relaxed structure of Cs3Rh2F8. The functional is PBE.

Structure (POSCAR):
```
Cs3Rh2F8
1.0
-2.298 1.252 -6.339
-4.643 -4.166 -2.849
-7.682 3.128 -0.307
Cs Rh F
3 2 8
Direct
0.000 0.000 0.000
0.219 0.219 0.342
0.781 0.781 0.658
0.444 0.444 0.668
0.556 0.556 0.332
0.348 0.348 0.956
0.652 0.652 0.044
0.274 0.784 0.668
0.784 0.274 0.668
0.274 0.274 0.668
0.216 0.726 0.332
0.726 0.216 0.332
0.726 0.726 0.332
```

formation energy from raw total energies: -1902 meV per atom
space-group type: R-3m, No. 166
spin magnetization: 0.385 μB per atom

=====

This record from Alexandria describes a relaxed structure of Ba2AsSe. The functional is PBE.

Structure (POSCAR):
```
Ba2AsSe
1.0
8.559 -0.004 -0.003
7.293 4.480 -0.003
7.293 2.059 3.979
As Ba Se
1 2 1
Direct
0.750 0.750 0.750
0.997 0.997 0.997
0.503 0.503 0.503
0.250 0.250 0.250
```

formation energy from raw total energies: -1371 meV per atom
space-group type: R-3m, No. 166
relative energy among the computed polymorphs: 10.2 meV per atom
spin magnetization: 0.237 μB per atom